[1]
## TbPmMg2Pd4 (PBE-GGA)

Data for a relaxed structure of TbPmMg2Pd4.

Geometry as POSCAR:
```
TbPmMg2Pd4
1.0
2.409 1.391 7.913
-2.409 1.391 7.913
0.000 -2.782 7.913
Tb Pm Mg Pd
1 1 2 4
direct
0.000 0.000 0.000
0.500 0.500 0.500
0.251 0.251 0.251
0.749 0.749 0.749
0.122 0.122 0.122
0.374 0.374 0.374
0.626 0.626 0.626
0.878 0.878 0.878
```

***

[2]
## Li5CdPb6 (PBE-GGA)

Data for a relaxed structure of Li5CdPb6.

Geometry as POSCAR:
```
Li5CdPb6
1.0
2.547 -7.621 0.000
2.547 7.621 0.000
0.000 0.000 7.326
Li Cd Pb
5 1 6
direct
0.000 0.000 0.000
0.337 0.663 0.000
0.337 0.663 0.500
0.663 0.337 0.000
0.663 0.337 0.500
0.000 0.000 0.500
0.171 0.829 0.249
0.171 0.829 0.751
0.500 0.500 0.241
0.500 0.500 0.759
0.829 0.171 0.249
0.829 0.171 0.751
```

***

[3]
## Rb2TlI2Br2 (PBE-GGA)

Data for a relaxed structure of Rb2TlI2Br2.

raw formation energy = -1.1214 eV/atom

Geometry as POSCAR:
```
Rb2TlI2Br2
1.0
5.819 0.000 0.000
0.000 5.819 0.000
0.000 0.000 18.786
Rb Tl I Br
4 2 4 4
direct
0.000 0.000 0.133
0.000 0.000 0.867
0.500 0.500 0.367
0.500 0.500 0.633
0.000 0.000 0.500
0.500 0.500 0.000
0.000 0.000 0.330
0.000 0.000 0.670
0.500 0.500 0.170
0.500 0.500 0.830
0.000 0.500 0.000
0.000 0.500 0.500
0.500 0.000 0.000
0.500 0.000 0.500
```

***

[4]
## AgSb3Se (PBE-GGA)

Data for a relaxed structure of AgSb3Se.

raw formation energy = 0.7649 eV/atom

Geometry as POSCAR:
```
AgSb3Se
1.0
5.338 0.000 0.000
0.000 5.338 0.000
0.000 0.000 5.338
Ag Sb Se
1 3 1
direct
0.000 0.000 0.000
0.000 0.000 0.500
0.000 0.500 0.000
0.500 0.000 0.000
0.500 0.500 0.500
```

***

[5]
## MnCdFe2 (PBE-GGA)

Data for a relaxed structure of MnCdFe2.

Geometry as POSCAR:
```
MnCdFe2
1.0
3.907 0.000 0.000
0.000 3.907 0.000
0.000 0.000 7.539
Mn Cd Fe
2 2 4
direct
0.000 0.000 0.000
0.500 0.500 0.500
0.000 0.500 0.750
0.500 0.000 0.250
0.000 0.000 0.500
0.000 0.500 0.250
0.500 0.000 0.750
0.500 0.500 0.000
```

***

[6]
## SrDyReO6 (PBE-GGA)

Data for a relaxed structure of SrDyReO6.

raw formation energy = -2.4925 eV/atom

Geometry as POSCAR:
```
SrDyReO6
1.0
5.573 0.000 0.000
-2.786 4.826 0.000
0.000 0.000 5.231
Sr Dy Re O
1 1 1 6
direct
0.000 0.000 0.000
0.333 0.667 0.500
0.667 0.333 0.500
0.392 0.046 0.707
0.392 0.346 0.293
0.654 0.046 0.293
0.654 0.608 0.707
0.954 0.346 0.707
0.954 0.608 0.293
```

***

[7]
## RbCuSb (PBE-GGA)

Data for a relaxed structure of RbCuSb.

raw formation energy = -0.1756 eV/atom

Geometry as POSCAR:
```
RbCuSb
1.0
4.492 0.000 0.000
-0.002 4.849 0.000
-0.005 -0.502 8.349
Rb Cu Sb
2 2 2
direct
0.000 0.000 0.000
0.500 0.482 0.677
0.000 0.403 0.339
0.499 0.081 0.337
0.500 0.556 0.196
0.999 0.927 0.480
```

***

[8]
## CaLaCd (PBE-GGA)

Data for a relaxed structure of CaLaCd.

Geometry as POSCAR:
```
CaLaCd
1.0
5.378 0.000 0.000
-2.689 4.657 0.000
0.000 0.000 13.160
Ca La Cd
3 3 3
direct
0.000 0.000 0.000
0.333 0.667 0.667
0.667 0.333 0.333
0.000 0.000 0.500
0.333 0.667 0.167
0.667 0.333 0.833
0.000 0.000 0.250
0.333 0.667 0.917
0.667 0.333 0.583
```

***

[9]
## InReTe (PBE-GGA)

Data for a relaxed structure of InReTe.

raw formation energy = 0.4302 eV/atom

Geometry as POSCAR:
```
InReTe
1.0
3.221 0.000 0.000
0.000 3.221 0.000
0.000 0.000 12.937
In Re Te
2 2 2
direct
0.000 0.000 0.000
0.500 0.500 0.500
0.000 0.000 0.649
0.500 0.500 0.149
0.000 0.000 0.264
0.500 0.500 0.764
```

***

[10]
## PrZnCu2Ni2 (PBE-GGA)

Data for a relaxed structure of PrZnCu2Ni2.

Geometry as POSCAR:
```
PrZnCu2Ni2
1.0
4.395 0.000 0.000
0.000 4.395 0.000
0.000 0.000 5.466
Pr Zn Cu Ni
1 1 2 2
direct
0.000 0.000 0.000
0.000 0.000 0.500
0.500 0.500 0.252
0.500 0.500 0.748
0.000 0.500 0.500
0.500 0.000 0.500
```

***

[11]
## LaTaBe2 (PBE-GGA)

Data for a relaxed structure of LaTaBe2.

Geometry as POSCAR:
```
LaTaBe2
1.0
3.311 0.000 0.000
0.000 3.311 0.000
0.000 0.000 6.349
La Ta Be
1 1 2
direct
0.000 0.000 0.000
0.000 0.000 0.500
0.500 0.500 0.332
0.500 0.500 0.668
```

***

[12]
## Cs3Dy3NpSe8 (PBE-GGA)

Data for a relaxed structure of Cs3Dy3NpSe8.

raw formation energy = -1.6163 eV/atom

Geometry as POSCAR:
```
Cs3Dy3NpSe8
1.0
4.215 2.434 8.530
-4.215 2.434 8.530
0.000 -4.867 8.530
Cs Dy Np Se
3 3 1 8
direct
0.000 0.500 0.500
0.500 0.000 0.500
0.500 0.500 0.000
0.000 0.000 0.500
0.000 0.500 0.000
0.500 0.000 0.000
0.500 0.500 0.500
0.228 0.228 0.228
0.231 0.725 0.725
0.275 0.275 0.769
0.275 0.769 0.275
0.725 0.231 0.725
0.725 0.725 0.231
0.769 0.275 0.275
0.772 0.772 0.772
```

***

The evaluated E_tot for the records listed, in turn: -4.922 -2.941 -2.657 -2.976 -6.399 -7.879 -3.238 -2.662 -5.679 -4.108 -5.868 -5.429 eV per atom.